(1)
Below is crystalline NpUPaSb at its relaxed geometry, with properties calculated at the PBE level.

Properties
E_tot (eV/cell): -37.12
Space-group type: F-43m, No. 216
Total magnetization (μB/f.u.): 7.09
V (Å³/atom): 24.1

a b c (Å): 5.1472 5.1472 5.1472
angles (deg): 60.00 60.00 60.00
Each line ends with the local moment (μB).
Atoms (fractional coordinates):
Pa 0.5000 0.5000 0.5000  0.60
Sb 0.7500 0.7500 0.7500  -0.04
Np 0.2500 0.2500 0.2500  3.94
U 0.0000 0.0000 0.0000  2.03


(2)
Below is crystalline TlGeCl3 at its relaxed geometry, with properties calculated at the PBE level.

Properties
E_tot (eV/cell): -33.95
Space-group type: P2_1, No. 4
Total magnetization (μB/f.u.): 0.00
V (Å³/atom): 32.9

a b c (Å): 8.1140 5.1052 8.2322
angles (deg): 89.99 74.75 90.00
Atoms (fractional coordinates):
Ge 0.3318 0.3325 0.6748
Ge 0.0032 0.8324 0.9580
Cl 0.0792 0.1187 0.1480
Cl 0.8761 0.1482 0.8143
Tl 0.8321 0.7275 0.5143
Tl 0.5029 0.2278 0.1188
Cl 0.5984 0.2191 0.4828
Cl 0.2562 0.6188 0.4846
Cl 0.4591 0.6481 0.8185
Cl 0.7368 0.7193 0.1503


(3)
Below is crystalline MgZn4Ir at its relaxed geometry, with properties calculated at the PBE level.

Properties
Space-group type: P6/mmm, No. 191
Formation energy from the elements (eV per atom): -0.204
Energy above the lowest structure with this stoichiometry (meV per atom): 0
Total magnetization (μB/f.u.): 0.00
V (Å³/atom): 15.0

a b c (Å): 4.3287 4.3285 5.5284
angles (deg): 89.98 90.00 120.00
Atoms (fractional coordinates):
Zn 0.3334 0.6668 0.2321
Mg 0.0000 0.0000 0.5000
Zn 0.3333 0.6665 0.7680
Zn 0.6666 0.3332 0.7679
Zn 0.6667 0.3335 0.2320
Ir 0.0000 0.0000 0.0000


(4)
Below is crystalline SmTe2S6 at its relaxed geometry, with properties calculated at the PBE level.

Properties
E_tot (eV/cell): -80.23
Space-group type: P-1, No. 2
Total magnetization (μB/f.u.): 0.00
V (Å³/atom): 27.4

a b c (Å): 7.3255 7.4889 10.5687
angles (deg): 92.91 70.68 114.96
Atoms (fractional coordinates):
S 0.0129 0.0098 0.1672
S 0.9394 0.3240 0.3925
S 0.9871 0.9902 0.8328
S 0.8128 0.5486 0.1318
Te 0.2656 0.3018 0.2616
S 0.0606 0.6760 0.6075
S 0.4618 0.5764 0.4418
S 0.7374 0.9244 0.5882
S 0.5382 0.4236 0.5582
Te 0.1694 0.7904 0.0094
S 0.2626 0.0756 0.4118
S 0.6499 0.2364 0.8501
S 0.3501 0.7636 0.1499
Sm 0.9398 0.7131 0.3724
Sm 0.0602 0.2869 0.6276
Te 0.8306 0.2096 0.9906
S 0.1872 0.4514 0.8682
Te 0.7345 0.6982 0.7384


(5)
Below is crystalline Zn2Sn3Au4 at its relaxed geometry, with properties calculated at the PBE level.

Properties
Space-group type: C2/m, No. 12
Formation energy from the elements (eV per atom): -0.105
Total magnetization (μB/f.u.): 0.00
V (Å³/atom): 21.6

a b c (Å): 4.0846 5.7999 8.9546
angles (deg): 100.60 90.00 110.62
Atoms (fractional coordinates):
Sn 0.3835 0.7669 0.6154
Zn 0.3620 0.7239 0.1954
Au 0.8859 0.7719 0.3902
Zn 0.6380 0.2761 0.8046
Au 0.6996 0.3992 0.1047
Au 0.1141 0.2281 0.6098
Sn 0.6165 0.2331 0.3846
Au 0.3004 0.6008 0.8953
Sn 0.0000 0.0000 0.0000


(6)
Below is crystalline Sm6Al2H at its relaxed geometry, with properties calculated at the PBE level.

Properties
E_tot (eV/cell): -82.14
Space-group type: P2_1/c, No. 14
Total magnetization (μB/f.u.): 0.00
V (Å³/atom): 26.7

a b c (Å): 6.4815 9.2543 8.1382
angles (deg): 90.00 100.37 90.00
Atoms (fractional coordinates):
Sm 0.1204 0.0400 0.8045
Sm 0.1456 0.3641 0.0168
Sm 0.3853 0.7686 0.0588
Al 0.8571 0.4112 0.6793
H 0.5000 0.5000 0.0000
Sm 0.3796 0.5400 0.6955
H 0.0000 0.0000 0.5000
Sm 0.3544 0.8641 0.4832
Sm 0.8853 0.7314 0.5588
Sm 0.1147 0.2686 0.4412
Al 0.6429 0.9112 0.8207
Sm 0.6204 0.4600 0.3045
Sm 0.6147 0.2314 0.9412
Sm 0.8544 0.6359 0.9832
Al 0.1429 0.5888 0.3207
Al 0.3571 0.0888 0.1793
Sm 0.8796 0.9600 0.1955
Sm 0.6456 0.1359 0.5168


(7)
Below is crystalline YPu3Hg4 at its relaxed geometry, with properties calculated at the PBE level.

Properties
Space-group type: P4/mmm, No. 123
Formation energy from the elements (eV per atom): -0.195
Total magnetization (μB/f.u.): 5.70
V (Å³/atom): 25.6

a b c (Å): 3.3858 3.3858 17.8438
angles (deg): 90.00 90.00 90.00
Each line ends with the local moment (μB).
Atoms (fractional coordinates):
Pu 0.5000 0.5000 0.5000  -5.59
Pu 0.5000 0.5000 0.7541  5.58
Hg 0.0000 0.0000 0.3733  0.00
Hg 0.0000 0.0000 0.1184  0.00
Y 0.5000 0.5000 0.0000  -0.14
Pu 0.5000 0.5000 0.2459  5.58
Hg 0.0000 0.0000 0.6267  0.00
Hg 0.0000 0.0000 0.8816  0.00


(8)
Below is crystalline PaCoH at its relaxed geometry, with properties calculated at the PBE level.

Properties
Space-group type: R3m, No. 160
Energy above the lowest structure with this stoichiometry (meV per atom): 108
Total magnetization (μB/f.u.): 0.00
V (Å³/atom): 13.4

a b c (Å): 3.6303 3.6303 3.6303
angles (deg): 69.20 69.20 69.20
Atoms (fractional coordinates):
Pa 0.8420 0.8420 0.8420
Co 0.3464 0.3464 0.3464
H 0.1419 0.1419 0.1419